[1]
A crystal of In2AgHg relaxed with PBEsol. Source: the Alexandria database, functional SCAN.

Summary:
E_tot in eV per cell: -166.07
E_form in meV/atom: 60
Spin magnetization in Bohr magnetons per cell: 0.00

Cell lengths 3.1910, 3.1910, 8.5846 Å; angles 90.00, 90.00, 90.05 degrees
Last column: nearest neighbours and their distance in Å.
Fractional positions:
Hg 0.5000 0.5000 0.2758  4 Ag 2.95, 4 Hg 3.19, 4 In 3.22
Ag 0.0000 0.0000 0.4977  4 In 2.95, 4 Hg 2.95, 4 Ag 3.19
In 0.0000 0.0000 0.0082  8 In 3.19-3.36, 4 Hg 3.22
In 0.5000 0.5000 0.7186  4 Ag 2.95, 4 In 3.19



[2]
A crystal of CaBeGaC2 relaxed with PBEsol. Source: the Alexandria database, functional SCAN.

Summary:
E_tot in eV per cell: -44.29
E_form in meV/atom: 1255
Spin magnetization in Bohr magnetons per cell: 0.00

Cell lengths 3.8590, 3.8590, 4.2081 Å; angles 90.00, 90.00, 90.00 degrees
Last column: nearest neighbours and their distance in Å.
Fractional positions:
Be 0.0000 0.0000 0.0000  4 C 1.93, 2 Ga 2.10
Ca 0.5000 0.5000 0.5000  4 Ga 2.73, 8 C 2.85
C 0.0000 0.5000 0.0000  2 Be 1.93
C 0.5000 0.0000 0.0000  2 Be 1.93
Ga 0.0000 0.0000 0.5000  2 Be 2.10



[3]
A crystal of Cd2AuF relaxed with PBEsol. Source: the Alexandria database, functional SCAN.

Summary:
E_tot in eV per cell: -136.56
Spin magnetization in Bohr magnetons per cell: 0.00
Raw formation energy in eV/atom: -0.759

Cell lengths 4.6057, 4.6057, 4.6057 Å; angles 60.00, 60.00, 60.00 degrees
Last column: nearest neighbours and their distance in Å.
Fractional positions:
F 0.0000 0.0000 0.0000  8 Cd 2.82
Au 0.5000 0.5000 0.5000  8 Cd 2.82
Cd 0.2500 0.2500 0.2500  4 F 2.82, 4 Au 2.82
Cd 0.7500 0.7500 0.7500  4 F 2.82, 4 Au 2.82



[4]
A crystal of TaTlCo2 relaxed with PBEsol. Source: the Alexandria database, functional SCAN.

Summary:
E_tot in eV per cell: -173.04
E_form in meV/atom: 128
Spin magnetization in Bohr magnetons per cell: 2.06
Relative energy among the computed polymorphs in meV/atom: 0

Cell lengths 3.1031, 3.1031, 6.1304 Å; angles 90.00, 90.00, 90.00 degrees
Last column: nearest neighbours and their distance in Å.
Fractional positions:
Tl 0.5000 0.5000 0.5000  8 Co 2.81, 2 Ta 3.07, 4 Tl 3.10
Co 0.0000 0.0000 0.7865  4 Ta 2.56, 1 Co 2.62, 4 Tl 2.81
Co 0.0000 0.0000 0.2135  4 Ta 2.56, 1 Co 2.62, 4 Tl 2.81
Ta 0.5000 0.5000 0.0000  8 Co 2.56



[5]
A crystal of La2GeH2 relaxed with PBEsol. Source: the Alexandria database, functional SCAN.

Summary:
E_tot in eV per cell: -116.18
Spin magnetization in Bohr magnetons per cell: 0.00

Cell lengths 4.0104, 4.0104, 6.2864 Å; angles 108.60, 108.60, 90.00 degrees
Last column: nearest neighbours and their distance in Å.
Fractional positions:
H 0.2500 0.7500 0.5000  4 La 2.36
H 0.7500 0.2500 0.5000  4 La 2.36
Ge 0.0000 0.0000 0.0000  8 La 3.23, 8 H 3.45
La 0.3614 0.3614 0.7228  4 H 2.36
La 0.6386 0.6386 0.2772  4 H 2.36



[6]
A crystal of Hg2PbS2Br2 relaxed with PBEsol. Source: the Alexandria database, functional SCAN.

Summary:
E_tot in eV per cell: -1095.42
Spin magnetization in Bohr magnetons per cell: 0.00
Raw formation energy in eV/atom: -0.510

Cell lengths 7.9797, 9.4919, 10.6426 Å; angles 104.53, 90.00, 90.00 degrees
Last column: nearest neighbours and their distance in Å.
Fractional positions:
Hg 0.8125 0.9655 0.3830  2 S 2.37-2.39
Hg 0.0490 0.6310 0.3876  2 S 2.36-2.37
Hg 0.9510 0.3690 0.6124  2 S 2.36-2.37
Hg 0.6875 0.4655 0.8830  2 S 2.37-2.39
Hg 0.3125 0.5345 0.1170  2 S 2.37-2.39
Hg 0.4510 0.1310 0.8876  2 S 2.36-2.37
Hg 0.1875 0.0345 0.6170  2 S 2.37-2.39
Hg 0.5490 0.8690 0.1124  2 S 2.36-2.37
Pb 0.0803 0.7736 0.9135  3 Br 2.95-2.99, 3 S 2.97-3.06
Pb 0.5803 0.7264 0.5865  3 Br 2.95-2.99, 3 S 2.97-3.06
Pb 0.9197 0.2264 0.0865  3 Br 2.95-2.99, 3 S 2.97-3.06
Pb 0.4197 0.2736 0.4135  3 Br 2.95-2.99, 3 S 2.97-3.06
S 0.9157 0.8315 0.5291  2 Hg 2.36-2.39
S 0.8212 0.5826 0.7373  2 Hg 2.37
S 0.0843 0.1685 0.4709  2 Hg 2.36-2.39
S 0.4157 0.6685 0.9709  2 Hg 2.36-2.39
S 0.3212 0.9174 0.7627  2 Hg 2.37
S 0.1788 0.4174 0.2626  2 Hg 2.37
S 0.5843 0.3315 0.0291  2 Hg 2.36-2.39
S 0.6788 0.0826 0.2374  2 Hg 2.37
Br 0.6924 0.4702 0.3778  2 Pb 2.95-2.99, 1 Hg 3.22
Br 0.8958 0.6822 0.1212  1 Pb 2.96, 3 Hg 3.23-3.30
Br 0.6042 0.1822 0.6212  1 Pb 2.96, 3 Hg 3.23-3.30
Br 0.3076 0.5298 0.6222  2 Pb 2.95-2.99, 1 Hg 3.22
Br 0.1924 0.0298 0.1222  2 Pb 2.95-2.99, 1 Hg 3.22
Br 0.8076 0.9702 0.8778  2 Pb 2.95-2.99, 1 Hg 3.22
Br 0.1042 0.3178 0.8788  1 Pb 2.96, 3 Hg 3.23-3.30
Br 0.3958 0.8178 0.3788  1 Pb 2.96, 3 Hg 3.23-3.30



[7]
A crystal of AlCuAg3 relaxed with PBEsol. Source: the Alexandria database, functional SCAN.

Summary:
E_tot in eV per cell: -113.06
E_form in meV/atom: 798
Spin magnetization in Bohr magnetons per cell: 0.00
Relative energy among the computed polymorphs in meV/atom: 90

Cell lengths 4.6846, 4.6846, 4.6846 Å; angles 90.00, 90.00, 90.00 degrees
Last column: nearest neighbours and their distance in Å.
Fractional positions:
Cu 0.5000 0.5000 0.5000  12 Ag 3.31
Ag 0.0000 0.5000 0.0000  2 Al 2.34
Ag 0.0000 0.0000 0.5000  2 Al 2.34
Ag 0.5000 0.0000 0.0000  2 Al 2.34
Al 0.0000 0.0000 0.0000  6 Ag 2.34



[8]
A crystal of Ba2PrBiO6 relaxed with PBEsol. Source: the Alexandria database, functional SCAN.

Summary:
E_tot in eV per cell: -263.42
Spin magnetization in Bohr magnetons per cell: 0.00
Raw formation energy in eV/atom: -2.503

Cell lengths 6.2218, 6.2218, 6.2218 Å; angles 60.00, 60.00, 60.00 degrees
Last column: nearest neighbours and their distance in Å.
Fractional positions:
Pr 0.5000 0.5000 0.5000  6 O 2.30
Bi 0.0000 0.0000 0.0000  6 O 2.10
O 0.7609 0.2391 0.2391  1 Bi 2.10, 1 Pr 2.30
O 0.2391 0.2391 0.7609  1 Bi 2.10, 1 Pr 2.30
O 0.7609 0.7609 0.2391  1 Bi 2.10, 1 Pr 2.30
O 0.2391 0.7609 0.2391  1 Bi 2.10, 1 Pr 2.30
O 0.2391 0.7609 0.7609  1 Bi 2.10, 1 Pr 2.30
O 0.7609 0.2391 0.7609  1 Bi 2.10, 1 Pr 2.30
Ba 0.7500 0.7500 0.7500  12 O 3.11
Ba 0.2500 0.2500 0.2500  12 O 3.11